Record 1
The following is a DFT calculation (PBE) of Ce4Tl5Pb2 after structural relaxation.

```
Ce4Tl5Pb2
1.0
-2.3650 -2.2111 -1.1996
6.1251 -5.7801 -1.4219
-2.0013 -3.4076 10.2261
Ce Tl Pb
4 5 2
direct
0.5000 0.7186 0.5636
0.5000 0.1737 0.8905
0.5000 0.2814 0.4364
0.5000 0.8263 0.1095
0.0000 0.5581 0.2976
0.0000 0.1919 0.1597
0.0000 0.5000 0.0000
0.0000 0.8081 0.8403
0.0000 0.4419 0.7024
0.0000 0.0667 0.6381
0.0000 0.9333 0.3619
```

Magnetization = 0.42 μB/atom
E_form = -0.1861 eV per atom

Record 2
The following is a DFT calculation (PBE) of Y3HgO after structural relaxation.

```
Y3HgO
1.0
-0.5477 0.2711 -6.9220
-5.9552 0.1721 -3.3932
0.5376 6.4456 -0.9592
Y Hg O
6 2 2
direct
0.5921 0.9044 0.1618
0.2052 0.4447 0.9198
0.7550 0.3065 0.0172
0.3505 0.8426 0.6886
0.9566 0.3975 0.4569
0.7987 0.9814 0.5909
0.3774 0.4420 0.4414
0.1727 0.8611 0.1635
0.5736 0.1384 0.9059
0.6709 0.7790 0.4791
```

E above lowest polymorph = 63 meV per atom
Magnetization = 0.04 μB/atom
Uncorrected formation energy = -1.338 eV/atom

Record 3
The following is a DFT calculation (PBE) of AcLaIrPt after structural relaxation.

```
AcLaIrPt
1.0
5.2088 0.0000 0.0000
2.6044 4.5110 0.0000
2.6044 1.5037 4.2530
Ac Ir Pt La
1 1 1 1
direct
0.0000 0.0000 0.0000
0.2500 0.2500 0.2500
0.7500 0.7500 0.7500
0.5000 0.5000 0.5000
```

E above lowest polymorph = 107 meV per atom
Magnetization = 0.00 μB/atom
E_form = -0.8079 eV per atom

Record 4
The following is a DFT calculation (PBE) of CaCdRu2 after structural relaxation.

```
CaCdRu2
1.0
-1.5482 1.9189 2.0015
0.1020 -3.4588 3.3949
4.0873 1.6609 1.5694
Ru Ca Cd
2 1 1
direct
0.0000 0.0000 0.0000
0.5000 0.5000 0.0000
0.5000 0.0000 0.5000
0.0000 0.5000 0.5000
```

Magnetization = 0.29 μB/atom
E_form = 0.4416 eV per atom

Record 5
The following is a DFT calculation (PBE) of CsScPO2 after structural relaxation.

```
CsScPO2
1.0
-1.0238 4.1184 -0.1728
-1.1820 -0.4639 -4.0530
-5.0511 -1.1881 1.6090
Cs Sc O P
1 1 2 1
direct
0.5000 0.5000 0.5000
0.0000 0.0000 0.0000
0.0000 0.5000 0.0000
0.5000 0.0000 0.0000
0.0000 0.0000 0.5000
```

E above lowest polymorph = 0 meV per atom
Magnetization = 0.16 μB/atom
Uncorrected formation energy = -1.055 eV/atom

Record 6
The following is a DFT calculation (PBE) of Ba5Y after structural relaxation.

```
Ba5Y
1.0
-2.6359 -3.8187 -0.6256
4.8379 -3.8332 3.0133
-6.8737 3.4915 7.6491
Y Ba
1 5
direct
0.0000 0.0000 0.0000
0.0000 0.6712 0.3424
0.0000 0.3288 0.6576
0.5000 0.5000 0.0000
0.5000 0.1503 0.3006
0.5000 0.8497 0.6994
```

E above lowest polymorph = 23 meV per atom
Magnetization = 0.00 μB/atom
E_form = 0.1404 eV per atom

Record 7
The following is a DFT calculation (PBE) of Ba4Nd2Cu6O13 after structural relaxation.

```
Ba4Nd2Cu6O13
1.0
-11.8468 4.6065 -0.1223
-11.8250 1.3630 4.3965
0.4131 4.5654 3.1506
Ba Nd Cu O
4 2 6 13
direct
0.1626 0.6479 0.8374
0.6479 0.1626 0.3521
0.8374 0.3521 0.1626
0.3521 0.8374 0.6479
0.0000 0.5000 0.0000
0.5000 0.0000 0.5000
0.5718 0.0690 0.9310
0.0690 0.5718 0.4282
0.4282 0.9310 0.0690
0.9310 0.4282 0.5718
0.2607 0.7393 0.2607
0.7393 0.2607 0.7393
0.6978 0.1526 0.8474
0.1526 0.6978 0.3022
0.3022 0.8474 0.1526
0.8474 0.3022 0.6978
0.3133 0.3133 0.1867
0.8133 0.8133 0.6867
0.3151 0.3151 0.6849
0.8127 0.8127 0.1873
0.1867 0.1867 0.3133
0.6867 0.6867 0.8133
0.1873 0.1873 0.8127
0.6849 0.6849 0.3151
0.5000 0.5000 0.5000
```

Magnetization = 0.00 μB/atom
Uncorrected formation energy = -1.815 eV/atom

Record 8
The following is a DFT calculation (PBE) of Ac6Sb5I after structural relaxation.

```
Ac6Sb5I
1.0
5.3501 1.4859 1.5485
2.5137 8.4161 4.9168
0.1969 0.0594 10.1015
I Sb Ac
1 5 6
direct
0.0000 0.0000 0.0000
0.5000 0.1579 0.6842
0.0000 0.3313 0.3374
0.5000 0.5000 0.0000
0.0000 0.6687 0.6626
0.5000 0.8421 0.3158
0.7427 0.0834 0.3466
0.2573 0.5700 0.3466
0.2349 0.2638 0.0000
0.7651 0.7362 0.0000
0.7427 0.4300 0.6534
0.2573 0.9166 0.6534
```

Magnetization = 0.00 μB/atom
Uncorrected formation energy = -1.014 eV/atom

Record 9
The following is a DFT calculation (PBE) of Ta2Al6Ga after structural relaxation.

```
Ta2Al6Ga
1.0
3.7018 0.0000 -1.1070
-0.6750 5.9906 -2.2574
-0.0302 0.0194 6.6419
Ta Al Ga
2 6 1
direct
0.9471 0.1946 0.8942
0.0529 0.8054 0.1058
0.3960 0.8459 0.7920
0.6040 0.1541 0.2080
0.7244 0.8507 0.4487
0.1739 0.5066 0.3478
0.2756 0.1493 0.5513
0.8261 0.4934 0.6522
0.5000 0.5000 0.0000
```

Magnetization = 0.00 μB/atom
E_form = -0.1759 eV per atom

Record 10
The following is a DFT calculation (PBE) of Nd3ZnGa3 after structural relaxation.

```
Nd3ZnGa3
1.0
-2.9984 2.4885 -2.3100
-2.1872 -2.8881 -4.7138
-11.6986 -4.1248 6.3001
Nd Zn Ga
6 2 6
direct
0.5497 0.2860 0.6147
0.4503 0.7140 0.3853
0.2492 0.2814 0.2201
0.7508 0.7186 0.7799
0.4015 0.2785 0.9185
0.5985 0.7215 0.0815
0.7469 0.1142 0.3919
0.2531 0.8858 0.6081
0.8706 0.7140 0.5447
0.1294 0.2860 0.4553
0.1102 0.8520 0.9276
0.8898 0.1480 0.0724
0.9531 0.8597 0.2342
0.0469 0.1403 0.7658
```

Magnetization = 0.00 μB/atom
E_form = -0.5646 eV per atom

Record 11
The following is a DFT calculation (PBE) of MnNi4Os after structural relaxation.

```
MnNi4Os
1.0
3.6452 -2.7474 -0.9102
2.6430 -1.5907 3.4855
-0.1370 -4.5069 1.1548
Mn Ni Os
1 4 1
direct
0.0000 0.0000 0.0000
0.8750 0.3750 0.3750
0.3750 0.3750 0.8750
0.3750 0.8750 0.3750
0.3750 0.3750 0.3750
0.7500 0.7500 0.7500
```

Magnetization = 0.14 μB/atom
E_form = 0.1271 eV per atom

Record 12
The following is a DFT calculation (PBE) of AgGe3Pb2Au12 after structural relaxation.

```
AgGe3Pb2Au12
1.0
-2.0570 6.9296 -0.1020
-3.5734 -0.5244 -6.2623
-6.4255 -1.2336 3.0743
Ag Ge Pb Au
1 3 2 12
direct
0.0000 0.0000 0.0000
0.5000 0.0000 0.0000
0.0000 0.5000 0.0000
0.0000 0.0000 0.5000
0.6177 0.6177 0.6177
0.3823 0.3823 0.3823
0.3722 0.3722 0.9496
0.8074 0.8074 0.2993
0.2993 0.8074 0.8074
0.9496 0.3722 0.3722
0.8074 0.2993 0.8074
0.3722 0.9496 0.3722
0.6278 0.6278 0.0504
0.1926 0.1926 0.7007
0.7007 0.1926 0.1926
0.0504 0.6278 0.6278
0.1926 0.7007 0.1926
0.6278 0.0504 0.6278
```

Magnetization = 0.00 μB/atom
E_form = 0.0996 eV per atom

no.,density (Mg/m³)
1,10.3
2,6.4
3,12.5
4,8.2
5,4.1
6,3.9
7,6.3
8,8.4
9,6.7
10,6.9
11,11.2
12,13.8